<i>
An optimized crystal structure of CrSi2Ge2. Source: Alexandria, functional PBE.

It has space group I4/mmm (No. 139), with a = 3.3850 Å, b = 3.3850 Å, c = 14.6761 Å, α = 90.00°, β = 90.00° and γ = 90.00°. The asymmetric unit holds Cr at (0.0000, 0.0000, 0.0000), Si at (0.0000, 0.0000, 0.4182) and Ge at (0.0000, 0.5000, 0.2500).

As for the magnetic moment: 0.00 μB per formula unit.

=====

<ii>
An optimized crystal structure of CrSi2Ge2. Source: Alexandria, functional PBE.

It has space group P4/mbm (No. 127), with a = 6.3978 Å, b = 6.3978 Å, c = 4.0592 Å, α = 90.00°, β = 90.00° and γ = 90.00°. The asymmetric unit holds Cr at (0.0000, 0.0000, 0.0000), Si at (0.1339, 0.3661, 0.0000) and Ge at (0.1786, 0.6786, 0.5000).

As for the magnetic moment: 2.66 μB per formula unit.

=====

Stability summary: most stable <ii>, least stable <i>.

=====

<i>
An optimized crystal structure of Cr3SnGe. Source: Alexandria, functional PBE.

It has space group Pm-3m (No. 221), with a = 4.6709 Å, b = 4.6709 Å, c = 4.6709 Å, α = 90.00°, β = 90.00° and γ = 90.00°. The asymmetric unit holds Cr at (0.0000, 0.0000, 0.5000), Sn at (0.5000, 0.5000, 0.5000) and Ge at (0.0000, 0.0000, 0.0000).

As for the magnetic moment: 10.00 μB per formula unit.

=====

<ii>
An optimized crystal structure of Cr3SnGe. Source: Alexandria, functional PBE.

It has space group Pm-3m (No. 221), with a = 5.0285 Å, b = 5.0285 Å, c = 5.0285 Å, α = 90.00°, β = 90.00° and γ = 90.00°. The asymmetric unit holds Cr at (0.0000, 0.0000, 0.5000), Sn at (0.0000, 0.0000, 0.0000) and Ge at (0.5000, 0.5000, 0.5000).

As for the magnetic moment: 11.08 μB per formula unit.

=====

Stability summary: most stable <i>, least stable <ii>.

=====

<i>
An optimized crystal structure of TaCr2Ge2. Source: Alexandria, functional PBE.

It has space group I4/mmm (No. 139), with a = 4.4172 Å, b = 4.4172 Å, c = 7.8269 Å, α = 90.00°, β = 90.00° and γ = 90.00°. The asymmetric unit holds Ta at (0.0000, 0.0000, 0.0000), Cr at (0.0000, 0.0000, 0.3761) and Ge at (0.0000, 0.5000, 0.2500).

As for the magnetic moment: 0.00 μB per formula unit.

=====

<ii>
An optimized crystal structure of TaCr2Ge2. Source: Alexandria, functional PBE.

It has space group P4/mbm (No. 127), with a = 7.0149 Å, b = 7.0149 Å, c = 2.9013 Å, α = 90.00°, β = 90.00° and γ = 90.00°. The asymmetric unit holds Ta at (0.0000, 0.0000, 0.0000), Cr at (0.1440, 0.3560, 0.5000) and Ge at (0.1482, 0.6482, 0.0000).

As for the magnetic moment: 0.00 μB per formula unit.

=====

Stability summary: most stable <ii>, least stable <i>.

=====

<i>
An optimized crystal structure of TaCrGe2. Source: Alexandria, functional PBE.

It has space group Fm-3m (No. 225), with a = 6.2381 Å, b = 6.2381 Å, c = 6.2381 Å, α = 90.00°, β = 90.00° and γ = 90.00°. The asymmetric unit holds Ta at (0.0000, 0.0000, 0.0000), Cr at (0.0000, 0.0000, 0.5000) and Ge at (0.2500, 0.2500, 0.2500).

As for the magnetic moment: 0.00 μB per formula unit.

=====

<ii>
An optimized crystal structure of TaCrGe2. Source: Alexandria, functional PBE.

It has space group I-42d (No. 122), with a = 3.7733 Å, b = 3.7733 Å, c = 18.5057 Å, α = 90.00°, β = 90.00° and γ = 90.00°. The asymmetric unit holds Ta at (0.0000, 0.0000, 0.0000), Cr at (0.0000, 0.0000, 0.5000) and Ge at (0.2417, 0.2500, 0.6250).

As for the magnetic moment: 0.00 μB per formula unit.

=====

<iii>
An optimized crystal structure of TaCrGe2. Source: Alexandria, functional PBE.

It has space group R-3m (No. 166, hexagonal axes), with a = 4.0746 Å, b = 4.0746 Å, c = 13.4997 Å, α = 90.00°, β = 90.00° and γ = 120.00°. The asymmetric unit holds Ta at (0.0000, 0.0000, 0.0000), Cr at (0.0000, 0.0000, 0.5000) and Ge at (0.0000, 0.0000, 0.2387).

As for the magnetic moment: 2.66 μB per formula unit.

=====

Stability summary: most stable <iii>, least stable <ii>.

=====

<i>
An optimized crystal structure of CrTcGe. Source: Alexandria, functional PBE.

It has space group P-62m (No. 189), with a = 7.0500 Å, b = 7.0500 Å, c = 2.8592 Å, α = 90.00°, β = 90.00° and γ = 120.00°. The asymmetric unit holds Cr at (0.0000, 0.0000, 0.0000), Cr at (0.3333, 0.6667, 0.5000), Tc at (0.0000, 0.3513, 0.0000) and Ge at (0.0000, 0.6950, 0.5000).

As for the magnetic moment: 0.00 μB per formula unit.

=====

<ii>
An optimized crystal structure of CrTcGe. Source: Alexandria, functional PBE.

It has space group I4mm (No. 107), with a = 3.0244 Å, b = 3.0244 Å, c = 8.7772 Å, α = 90.00°, β = 90.00° and γ = 90.00°. The asymmetric unit holds Cr at (0.0000, 0.0000, 0.0000), Tc at (0.0000, 0.0000, 0.6638) and Ge at (0.0000, 0.0000, 0.3391).

As for the magnetic moment: 0.00 μB per formula unit.

=====

Stability summary: most stable <ii>, least stable <i>.

=====

<i>
An optimized crystal structure of Cr2GeTe. Source: Alexandria, functional PBE.

It has space group I-42d (No. 122), with a = 5.6292 Å, b = 5.6292 Å, c = 12.7273 Å, α = 90.00°, β = 90.00° and γ = 90.00°. The asymmetric unit holds Cr at (0.2138, 0.2500, 0.1250), Ge at (0.0000, 0.0000, 0.0000) and Te at (0.0000, 0.0000, 0.5000).

As for the magnetic moment: 6.00 μB per formula unit.

=====

<ii>
An optimized crystal structure of Cr2GeTe. Source: Alexandria, functional PBE.

It has space group Fm-3m (No. 225), with a = 6.2520 Å, b = 6.2520 Å, c = 6.2520 Å, α = 90.00°, β = 90.00° and γ = 90.00°. The asymmetric unit holds Cr at (0.2500, 0.2500, 0.2500), Ge at (0.0000, 0.0000, 0.0000) and Te at (0.0000, 0.0000, 0.5000).

As for the magnetic moment: 2.37 μB per formula unit.

=====

Stability summary: most stable <ii>, least stable <i>.

=====

<i>
An optimized crystal structure of Cr3GeTe. Source: Alexandria, functional PBE.

It has space group Pm-3m (No. 221), with a = 4.8071 Å, b = 4.8071 Å, c = 4.8071 Å, α = 90.00°, β = 90.00° and γ = 90.00°. The asymmetric unit holds Cr at (0.0000, 0.0000, 0.5000), Ge at (0.0000, 0.0000, 0.0000) and Te at (0.5000, 0.5000, 0.5000).

As for the magnetic moment: 12.00 μB per formula unit.

=====

<ii>
An optimized crystal structure of Cr3GeTe. Source: Alexandria, functional PBE.

It has space group Pm-3m (No. 221), with a = 5.0734 Å, b = 5.0734 Å, c = 5.0734 Å, α = 90.00°, β = 90.00° and γ = 90.00°. The asymmetric unit holds Cr at (0.0000, 0.0000, 0.5000), Ge at (0.5000, 0.5000, 0.5000) and Te at (0.0000, 0.0000, 0.0000).

As for the magnetic moment: 12.01 μB per formula unit.

=====

Stability summary: most stable <i>, least stable <ii>.

=====

<i>
An optimized crystal structure of Cr2Ge2Te. Source: Alexandria, functional PBE.

It has space group I4/mmm (No. 139), with a = 3.6647 Å, b = 3.6647 Å, c = 12.7782 Å, α = 90.00°, β = 90.00° and γ = 90.00°. The asymmetric unit holds Cr at (0.0000, 0.0000, 0.1084), Ge at (0.0000, 0.5000, 0.2500) and Te at (0.0000, 0.0000, 0.5000).

As for the magnetic moment: 3.98 μB per formula unit.

=====

<ii>
An optimized crystal structure of Cr2Ge2Te. Source: Alexandria, functional PBE.

It has space group P4/mbm (No. 127), with a = 7.4378 Å, b = 7.4378 Å, c = 3.0222 Å, α = 90.00°, β = 90.00° and γ = 90.00°. The asymmetric unit holds Cr at (0.1560, 0.3440, 0.0000), Ge at (0.1341, 0.6341, 0.5000) and Te at (0.0000, 0.0000, 0.0000).

As for the magnetic moment: 4.06 μB per formula unit.

=====

Stability summary: most stable <i>, least stable <ii>.

=====

<i>
An optimized crystal structure of TiCrGe2. Source: Alexandria, functional PBE.

It has space group I-42d (No. 122), with a = 3.7358 Å, b = 3.7358 Å, c = 18.3151 Å, α = 90.00°, β = 90.00° and γ = 90.00°. The asymmetric unit holds Ti at (0.0000, 0.0000, 0.0000), Cr at (0.0000, 0.0000, 0.5000) and Ge at (0.2461, 0.2500, 0.6250).

As for the magnetic moment: 0.00 μB per formula unit.

=====

<ii>
An optimized crystal structure of TiCrGe2. Source: Alexandria, functional PBE.

It has space group Fm-3m (No. 225), with a = 6.1546 Å, b = 6.1546 Å, c = 6.1546 Å, α = 90.00°, β = 90.00° and γ = 90.00°. The asymmetric unit holds Ti at (0.0000, 0.0000, 0.0000), Cr at (0.0000, 0.0000, 0.5000) and Ge at (0.2500, 0.2500, 0.2500).

As for the magnetic moment: 0.00 μB per formula unit.

=====

Stability summary: most stable <ii>, least stable <i>.

=====

<i>
An optimized crystal structure of Ti4Cr2Ge5. Source: Alexandria, functional PBE.

It has space group C2/m (No. 12), with a = 9.7644 Å, b = 15.6585 Å, c = 5.2006 Å, α = 90.00°, β = 121.23° and γ = 90.00°. The asymmetric unit holds Ti at (0.0010, 0.0000, 0.2584), Ti at (0.2192, 0.4097, 0.2221), Ti at (0.2500, 0.2500, 0.5000), Cr at (0.0000, 0.3502, 0.5000), Cr at (0.2500, 0.2500, 0.0000), Ge at (0.0000, 0.1742, 0.5000), Ge at (0.0000, 0.2877, 0.0000), Ge at (0.0037, 0.5000, 0.7424) and Ge at (0.1994, 0.1079, 0.1904).

As for the magnetic moment: 1.20 μB per formula unit.

=====

<ii>
An optimized crystal structure of Ti4Cr2Ge5. Source: Alexandria, functional PBE.

It has space group Ibam (No. 72), with a = 7.8482 Å, b = 16.5411 Å, c = 5.0450 Å, α = 90.00°, β = 90.00° and γ = 90.00°. The asymmetric unit holds Ti at (0.1046, 0.1436, 0.0000), Ti at (0.2388, 0.4357, 0.0000), Cr at (0.0000, 0.3074, 0.2500), Ge at (0.0000, 0.0000, 0.2500), Ge at (0.0979, 0.4277, 0.5000) and Ge at (0.2028, 0.2144, 0.5000).

As for the magnetic moment: 0.00 μB per formula unit.

=====

Stability summary: most stable <ii>, least stable <i>.

=====

<i>
An optimized crystal structure of TiCr3Ge. Source: Alexandria, functional PBE.

It has space group Pm-3m (No. 221), with a = 4.4606 Å, b = 4.4606 Å, c = 4.4606 Å, α = 90.00°, β = 90.00° and γ = 90.00°. The asymmetric unit holds Ti at (0.0000, 0.0000, 0.0000), Cr at (0.0000, 0.0000, 0.5000) and Ge at (0.5000, 0.5000, 0.5000).

As for the magnetic moment: 6.85 μB per formula unit.

=====

<ii>
An optimized crystal structure of TiCr3Ge. Source: Alexandria, functional PBE.

It has space group Pm-3m (No. 221), with a = 4.4741 Å, b = 4.4741 Å, c = 4.4741 Å, α = 90.00°, β = 90.00° and γ = 90.00°. The asymmetric unit holds Ti at (0.0000, 0.0000, 0.0000), Cr at (0.0000, 0.5000, 0.5000) and Ge at (0.5000, 0.5000, 0.5000).

As for the magnetic moment: 6.11 μB per formula unit.

=====

Stability summary: most stable <ii>, least stable <i>.

=====

<i>
An optimized crystal structure of Ti3CrGe. Source: Alexandria, functional PBE.

It has space group Pm-3m (No. 221), with a = 4.6286 Å, b = 4.6286 Å, c = 4.6286 Å, α = 90.00°, β = 90.00° and γ = 90.00°. The asymmetric unit holds Ti at (0.0000, 0.0000, 0.5000), Cr at (0.5000, 0.5000, 0.5000) and Ge at (0.0000, 0.0000, 0.0000).

As for the magnetic moment: 0.00 μB per formula unit.

=====

<ii>
An optimized crystal structure of Ti3CrGe. Source: Alexandria, functional PBE.

It has space group Pm-3m (No. 221), with a = 4.4753 Å, b = 4.4753 Å, c = 4.4753 Å, α = 90.00°, β = 90.00° and γ = 90.00°. The asymmetric unit holds Ti at (0.0000, 0.0000, 0.5000), Cr at (0.0000, 0.0000, 0.0000) and Ge at (0.5000, 0.5000, 0.5000).

As for the magnetic moment: 0.00 μB per formula unit.

=====

Stability summary: most stable <ii>, least stable <i>.